The following is a DFT calculation (PBE-GGA) of BeSnB after structural relaxation.

Results
The calculation puts the raw total energy at -4.62 eV per atom.

abc: 3.058 3.550 9.276
angles: 79.44 86.14 64.87
Atoms (fractional coordinates):
1 Be 0.834 0.480 0.802
2 Be 0.344 0.377 0.999
3 B 0.043 0.989 0.947
4 B 0.536 0.043 0.850
5 Sn 0.051 0.859 0.215
6 Sn 0.517 0.185 0.583



The following is a DFT calculation (PBE-GGA) of PmErAgIr after structural relaxation.

Results
The calculation puts the raw total energy at -5.80 eV per atom.

abc: 5.019 5.019 5.019
angles: 60.00 60.00 60.00
Atoms (fractional coordinates):
1 Ir 0.000 0.000 0.000
2 Pm 0.250 0.250 0.250
3 Ag 0.500 0.500 0.500
4 Er 0.750 0.750 0.750



The following is a DFT calculation (PBE-GGA) of Ti2GaCo after structural relaxation.

Results
The calculation puts the raw total energy at -6.75 eV per atom.

abc: 4.321 4.321 4.321
angles: 60.00 60.00 60.00
Atoms (fractional coordinates):
1 Ti 0.000 0.000 0.000
2 Ti 0.250 0.250 0.250
3 Ga 0.750 0.750 0.750
4 Co 0.500 0.500 0.500



The following is a DFT calculation (PBE-GGA) of In2Sb after structural relaxation.

Results
The value obtained for the formation energy without anion corrections is 0.016 eV/atom.

abc: 3.114 4.350 6.869
angles: 105.89 99.88 100.64
Atoms (fractional coordinates):
1 In 0.826 0.332 0.662
2 In 0.174 0.668 0.338
3 Sb 0.000 0.000 0.000